{
  "formula": "YAl2Pt5",
  "functional": "PBE",
  "state": "relaxed",
  "e_tot_ev_per_cell": -51.7,
  "ef_ev_per_atom": -0.946,
  "sg": "Immm (71)",
  "lattice": [[-1.9307, 3.5519, 5.0494], [1.9307, -3.5519, 5.0494], [1.9307, 3.5519, -5.0494]],
  "species": ["Y", "Al", "Al", "Pt", "Pt", "Pt", "Pt", "Pt"],
  "fractional_positions": [[0.0000, 0.0000, 0.0000], [0.2571, 0.7571, 0.5000], [0.7429, 0.2429, 0.5000], [0.1551, 0.3583, 0.7969], [0.4386, 0.6417, 0.7969], [0.5000, 0.0000, 0.5000], [0.5614, 0.3583, 0.2031], [0.8449, 0.6417, 0.2031]]
}